(1)
VASP calculation (PBE) on crystalline Tb3PmSmHo at its relaxed geometry.

Properties
The density of states at the Fermi level is 1.55 states/eV/atom.

Cell and atoms, written as CIF:
```
data_Tb3PmSmHo
_symmetry_space_group_name_H-M 'C 1 2/m 1'
_symmetry_Int_Tables_number 12
_cell_length_a 19.8998
_cell_length_b 5.6870
_cell_length_c 6.9732
_cell_angle_alpha 90.00
_cell_angle_beta 90.23
_cell_angle_gamma 90.00
loop_
_symmetry_equiv_pos_as_xyz
'x,y,z'
'-x,-y,-z'
'-x,y,-z'
'x,-y,z'
'x+1/2,y+1/2,z'
'-x+1/2,-y+1/2,-z'
'-x+1/2,y+1/2,-z'
'x+1/2,-y+1/2,z'
loop_
_atom_site_label
_atom_site_fract_x
_atom_site_fract_y
_atom_site_fract_z
_atom_site_occupancy
Tb1 0.0211 0.0000 0.2431 1
Tb2 0.1648 0.5000 0.2360 1
Tb3 0.2196 0.5000 0.7461 1
Pm1 0.1462 0.0000 0.5266 1
Sm1 0.0545 0.5000 0.7596 1
Ho1 0.1489 0.0000 0.9623 1
```


(2)
VASP calculation (PBE) on crystalline Sc2MnNiBi at its relaxed geometry.

Properties
The density of states at the Fermi level is 1.31 states/eV/atom.

Cell and atoms, written as CIF:
```
data_Sc2MnNiBi
_symmetry_space_group_name_H-M 'P 4/m m m'
_symmetry_Int_Tables_number 123
_symmetry_space_group_name_Hall '-P 4 2'
_cell_length_a 5.4332
_cell_length_b 5.4332
_cell_length_c 4.9433
_cell_angle_alpha 90.00
_cell_angle_beta 90.00
_cell_angle_gamma 90.00
loop_
_atom_site_label
_atom_site_fract_x
_atom_site_fract_y
_atom_site_fract_z
_atom_site_occupancy
Sc1 0.0000 0.5000 0.0000 1
Mn1 0.0000 0.0000 0.5000 1
Ni1 0.5000 0.5000 0.5000 1
Bi1 0.0000 0.0000 0.0000 1
```


(3)
VASP calculation (PBE) on crystalline CrCuSb2 at its relaxed geometry.

Properties
The density of states at the Fermi level is 0.59 states/eV/atom. Its energy above the most stable polymorph in this dataset is 411 meV/atom.

Cell and atoms, written as CIF:
```
data_CrCuSb2
_symmetry_space_group_name_H-M 'F -4 3 m'
_symmetry_Int_Tables_number 216
_symmetry_space_group_name_Hall 'F -4 2 3'
_cell_length_a 6.9548
_cell_length_b 6.9548
_cell_length_c 6.9548
_cell_angle_alpha 90.00
_cell_angle_beta 90.00
_cell_angle_gamma 90.00
loop_
_atom_site_label
_atom_site_fract_x
_atom_site_fract_y
_atom_site_fract_z
_atom_site_occupancy
Cr1 0.0000 0.0000 0.0000 1
Cu1 0.2500 0.2500 0.7500 1
Sb1 0.0000 0.0000 0.5000 1
Sb2 0.2500 0.2500 0.2500 1
```


| no. | total energy (eV per atom) |
| --- | --- |
| 1 | -4.465 |
| 2 | -5.249 |
| 3 | -4.939 |